A relaxed structure of LaPr3Er7. Source: Alexandria, functional GGA-PBE.

abc: 6.672 8.678 6.550
angles: 80.73 94.83 81.39
Fractional positions:
La 0.500 0.500 0.500
Pr 0.064 0.843 0.206
Pr 0.500 0.000 0.000
Pr 0.936 0.157 0.794
Er 0.781 0.219 0.267
Er 0.705 0.858 0.555
Er 0.260 0.411 0.014
Er 0.740 0.589 0.986
Er 0.000 0.500 0.500
Er 0.295 0.142 0.445
Er 0.219 0.781 0.733

Properties
- DOS(E_F): 1.55 states/eV per atom
- Size of the total moment: 0.00 μB/f.u.
- E_tot: -4.54 eV per atom

A relaxed structure of LaPr2Er3. Source: Alexandria, functional GGA-PBE.

abc: 5.126 8.098 11.429
angles: 115.14 90.00 108.45
Fractional positions:
La 0.874 0.748 0.869
La 0.126 0.252 0.131
Pr 0.541 0.081 0.870
Pr 0.459 0.919 0.130
Pr 0.795 0.590 0.131
Pr 0.205 0.410 0.869
Er 0.289 0.577 0.617
Er 0.957 0.913 0.618
Er 0.622 0.244 0.617
Er 0.378 0.756 0.383
Er 0.043 0.087 0.382
Er 0.711 0.423 0.383

Properties
- DOS(E_F): 1.58 states/eV per atom
- Size of the total moment: 0.00 μB/f.u.
- E_tot: -4.67 eV per atom

A relaxed structure of La8Pr2Er3. Source: Alexandria, functional GGA-PBE.

abc: 5.770 10.440 9.584
angles: 123.00 75.58 90.00
Fractional positions:
La 0.765 0.461 0.921
La 0.235 0.539 0.079
La 0.137 0.833 0.666
La 0.863 0.167 0.334
La 0.361 0.914 0.318
La 0.361 0.403 0.318
La 0.639 0.597 0.682
La 0.639 0.086 0.682
Pr 0.748 0.683 0.367
Pr 0.252 0.317 0.633
Er 0.500 0.000 0.000
Er 0.000 0.216 0.000
Er 0.000 0.784 0.000

Properties
- DOS(E_F): 1.55 states/eV per atom
- Size of the total moment: 0.00 μB/f.u.
- E_tot: -4.66 eV per atom

A relaxed structure of La4Pr2Er. Source: Alexandria, functional GGA-PBE.

abc: 8.244 6.409 9.789
angles: 89.82 90.06 104.81
Fractional positions:
Pr 0.413 0.910 0.215
Pr 0.694 0.338 0.644
Pr 0.125 0.482 0.785
Pr 0.625 0.482 0.286
Er 0.483 0.766 0.571
Er 0.767 0.198 0.001
La 0.056 0.627 0.430
La 0.342 0.053 0.856
La 0.838 0.055 0.357
La 0.269 0.196 0.500
La 0.907 0.911 0.715
La 0.194 0.337 0.141
La 0.980 0.769 0.071
La 0.557 0.626 0.928

Properties
- DOS(E_F): 1.74 states/eV per atom
- Size of the total moment: 0.00 μB/f.u.
- E_tot: -4.82 eV per atom

Which value of DOS(E_F) does entry 1 give? 1.55 states/eV per atom